(1)
ZrSi2Cl | GGA-PBE | optimized geometry

```
4
Lattice="-2.041 2.041 4.305 2.041 -2.041 4.305 2.041 2.041 -4.305" Properties=species:S:1:pos:R:3 pbc="T T T"
Zr 0.000 0.000 0.000
Si 0.000 0.000 4.305
Si 0.000 2.041 2.152
Cl 2.041 0.000 2.152
```

Output
E above lowest polymorph ... 599 meV/atom
Formation energy from raw total energies ... 4.40 kcal/mol of atoms
Raw total energy ... -20.478 eV per cell
Space-group type ... I-4m2, No. 119

(2)
ZrSiCl2 | GGA-PBE | optimized geometry

```
4
Lattice="0.000 3.400 3.400 3.400 0.000 3.400 3.400 3.400 0.000" Properties=species:S:1:pos:R:3 pbc="T T T"
Zr 0.000 0.000 0.000
Si 1.700 1.700 1.700
Cl 3.400 3.400 3.400
Cl 5.100 5.100 5.100
```

Output
E above lowest polymorph ... 870 meV/atom
Formation energy from raw total energies ... 0.19 kcal/mol of atoms
Raw total energy ... -17.632 eV per cell
Space-group type ... F-43m, No. 216

(3)
Zr2SiCl | GGA-PBE | optimized geometry

```
4
Lattice="3.342 0.000 0.000 0.000 4.217 0.000 0.000 0.000 5.720" Properties=species:S:1:pos:R:3 pbc="T T T"
Zr 0.000 0.000 0.000
Zr 1.671 0.000 2.860
Si 0.000 2.109 2.860
Cl 1.671 2.109 0.000
```

Output
E above lowest polymorph ... 410 meV/atom
Formation energy from raw total energies ... -7.23 kcal/mol of atoms
Raw total energy ... -25.620 eV per cell
Space-group type ... Pmmm, No. 47

(4)
ZrSiCl2 | GGA-PBE | optimized geometry

```
4
Lattice="3.359 0.000 0.000 0.000 4.603 0.000 -0.147 0.000 5.096" Properties=species:S:1:pos:R:3 pbc="T T T"
Zr 0.000 0.000 0.000
Si 1.606 0.000 2.548
Cl 0.653 2.301 1.257
Cl 2.559 2.301 3.839
```

Output
E above lowest polymorph ... 420 meV/atom
Formation energy from raw total energies ... -10.18 kcal/mol of atoms
Raw total energy ... -19.430 eV per cell
Space-group type ... P2/m, No. 10